(1)
GGA-PBE Li2Ca2PmTl2, optimized geometry; space group = R-3m
1.0
4.987 0.000 0.000
2.493 4.319 0.000
2.493 1.440 9.198
Ca Li Pm Tl
2 2 1 2
Direct
0.875 0.875 0.376
0.125 0.125 0.624
0.392 0.392 0.824
0.608 0.608 0.176
0.000 0.000 0.000
0.732 0.732 0.803
0.268 0.268 0.197


(2)
GGA-PBE LiCaPmTl, optimized geometry; space group = F-43m
1.0
5.425 0.000 0.000
2.712 4.698 0.000
2.712 1.566 4.429
Tl Ca Li Pm
1 1 1 1
Direct
0.500 0.500 0.500
0.250 0.250 0.250
0.000 0.000 0.000
0.750 0.750 0.750


(3)
GGA-PBE Li2CaPmTl4, optimized geometry; space group = R-3m
1.0
-1.721 -0.316 -4.951
-1.433 -4.643 -1.990
-9.098 -0.333 0.399
Tl Li Pm Ca
4 2 1 1
Direct
0.626 0.626 0.122
0.876 0.876 0.373
0.374 0.374 0.878
0.124 0.124 0.627
0.750 0.750 0.751
0.250 0.250 0.249
0.500 0.500 0.500
0.000 0.000 0.000


no.,total energy (eV/cell)
1,-18.997
2,-12.016
3,-22.664